(1)
A relaxed structure of CaInSe2. Source: Alexandria via LeMat-Bulk, functional GGA-PBEsol.

a b c (Å): 3.609 3.609 7.055
angles (deg): 90.00 90.00 89.98
Element x y z (fractional)
Ca  0.500  0.500  0.500
Se  0.000  0.000  0.258
Se  0.000  0.000  0.742
In  0.500  0.500  0.000

SG: P4/mmm
Energy relative to the elements, uncorrected (eV/atom): -0.95

=====

(2)
A relaxed structure of KZn2Hg. Source: Alexandria via LeMat-Bulk, functional GGA-PBEsol.

a b c (Å): 5.078 5.078 5.078
angles (deg): 60.00 60.00 60.00
Element x y z (fractional)
Hg  0.500  0.500  0.500
K  0.250  0.250  0.250
Zn  0.000  0.000  0.000
Zn  0.750  0.750  0.750

Energy of formation from the pure elements (eV per formula unit): 0.77
SG: F-43m

=====

(3)
A relaxed structure of Ba3V4O13. Source: Alexandria via LeMat-Bulk, functional GGA-PBEsol.

a b c (Å): 8.834 9.081 10.229
angles (deg): 108.04 90.00 119.11
Element x y z (fractional)
Ba  0.904  0.000  0.250
Ba  0.096  0.000  0.750
Ba  0.624  0.595  0.812
Ba  0.029  0.405  0.688
Ba  0.376  0.405  0.188
Ba  0.971  0.595  0.312
V  0.583  0.220  0.863
V  0.363  0.780  0.637
V  0.417  0.780  0.137
V  0.637  0.220  0.363
V  0.895  0.180  0.997
V  0.716  0.820  0.503
V  0.105  0.820  0.003
V  0.284  0.180  0.497
O  0.417  0.000  0.750
O  0.583  0.000  0.250
O  0.006  0.288  0.164
O  0.718  0.712  0.336
O  0.994  0.712  0.836
O  0.282  0.288  0.664
O  0.822  0.959  0.955
O  0.863  0.041  0.545
O  0.178  0.041  0.045
O  0.137  0.959  0.455
O  0.030  0.259  0.887
O  0.771  0.741  0.613
O  0.970  0.741  0.113
O  0.229  0.259  0.387
O  0.504  0.215  0.491
O  0.288  0.785  0.009
O  0.496  0.785  0.509
O  0.712  0.215  0.991
O  0.847  0.324  0.435
O  0.523  0.676  0.065
O  0.713  0.334  0.770
O  0.477  0.324  0.935
O  0.622  0.334  0.270
O  0.287  0.666  0.230
O  0.378  0.666  0.730
O  0.153  0.676  0.565

SG: C2/c
Energy relative to the elements, uncorrected (eV/atom): -2.71

=====

(4)
A relaxed structure of RuPt2. Source: Alexandria via LeMat-Bulk, functional GGA-PBEsol.

a b c (Å): 2.716 5.249 6.568
angles (deg): 105.74 90.00 104.99
Element x y z (fractional)
Ru  0.298  0.596  0.367
Ru  0.702  0.404  0.633
Pt  0.976  0.952  0.688
Pt  0.358  0.716  0.965
Pt  0.642  0.284  0.035
Pt  0.024  0.048  0.312

Energy of formation from the pure elements (eV per formula unit): 0.18
SG: C2/m

=====

(5)
A relaxed structure of SbRuPt2. Source: Alexandria via LeMat-Bulk, functional GGA-PBEsol.

a b c (Å): 2.987 2.987 8.593
angles (deg): 79.99 79.99 60.00
Element x y z (fractional)
Pt  0.999  0.999  0.004
Pt  0.752  0.752  0.743
Ru  0.501  0.501  0.496
Sb  0.248  0.248  0.257

SG: R3m
Energy relative to the elements, uncorrected (eV/atom): 0.24

=====

(6)
A relaxed structure of CuAgPt2F. Source: Alexandria via LeMat-Bulk, functional GGA-PBEsol.

a b c (Å): 4.247 4.247 4.373
angles (deg): 90.00 90.00 90.00
Element x y z (fractional)
Cu  0.500  0.500  0.500
Ag  0.000  0.000  0.500
Pt  0.000  0.500  0.000
Pt  0.500  0.000  0.000
F  0.000  0.000  0.000

SG: P4/mmm
Energy relative to the elements, uncorrected (eV/atom): 0.72

=====

(7)
A relaxed structure of As4S5. Source: Alexandria via LeMat-Bulk, functional GGA-PBEsol.

a b c (Å): 7.256 7.734 7.948
angles (deg): 90.00 90.00 102.29
Element x y z (fractional)
As  0.744  0.401  0.997
As  0.256  0.599  0.497
As  0.256  0.599  0.003
As  0.744  0.401  0.503
As  0.537  0.972  0.250
As  0.463  0.028  0.750
As  0.191  0.985  0.250
As  0.809  0.015  0.750
S  0.209  0.446  0.250
S  0.791  0.554  0.750
S  0.454  0.222  0.967
S  0.546  0.778  0.467
S  0.546  0.778  0.033
S  0.454  0.222  0.533
S  0.913  0.188  0.975
S  0.087  0.812  0.475
S  0.913  0.188  0.525
S  0.087  0.812  0.025

SG: P2_1/m
Energy relative to the elements, uncorrected (eV/atom): -0.11

=====

(8)
A relaxed structure of YP. Source: Alexandria via LeMat-Bulk, functional GGA-PBEsol.

a b c (Å): 3.760 5.487 7.186
angles (deg): 110.96 90.00 110.04
Element x y z (fractional)
P  0.090  0.180  0.007
P  0.260  0.520  0.643
P  0.382  0.764  0.298
Y  0.648  0.296  0.312
Y  0.979  0.958  0.605
Y  0.807  0.615  0.968

Energy of formation from the pure elements (eV per formula unit): -2.68
SG: Cm

=====

(9)
A relaxed structure of CaP2Se. Source: Alexandria via LeMat-Bulk, functional GGA-PBEsol.

a b c (Å): 3.892 3.892 5.867
angles (deg): 109.33 109.33 90.11
Element x y z (fractional)
Ca  0.500  0.500  0.000
P  0.500  0.000  0.500
P  0.000  0.500  0.500
Se  0.000  0.000  0.000

SG: Fmmm
Energy relative to the elements, uncorrected (eV/atom): -0.42

=====

(10)
A relaxed structure of NiSbTe2W. Source: Alexandria via LeMat-Bulk, functional GGA-PBEsol.

a b c (Å): 5.165 5.165 5.200
angles (deg): 90.00 90.00 90.00
Last column: magnetic moment on the atom in μB.
Element x y z (fractional)
Sb  0.000  0.000  0.500  0.01
Te  0.000  0.500  0.000  0.04
Te  0.500  0.000  0.000  0.04
W  0.000  0.000  0.000  -0.07
Ni  0.500  0.500  0.500  0.76

SG: P4/mmm
Energy relative to the elements, uncorrected (eV/atom): 1.20

=====

(11)
A relaxed structure of BeSiSeBr2. Source: Alexandria via LeMat-Bulk, functional GGA-PBEsol.

a b c (Å): 4.543 4.543 4.942
angles (deg): 90.00 90.00 90.00
Element x y z (fractional)
Be  0.000  0.000  0.000
Si  0.500  0.500  0.500
Se  0.000  0.000  0.500
Br  0.000  0.500  0.000
Br  0.500  0.000  0.000

SG: P4/mmm
Energy relative to the elements, uncorrected (eV/atom): 0.12

=====

(12)
A relaxed structure of BaMgTe2. Source: Alexandria via LeMat-Bulk, functional GGA-PBEsol.

a b c (Å): 4.655 4.655 6.592
angles (deg): 90.00 90.00 90.00
Element x y z (fractional)
Ba  0.500  0.500  0.000
Mg  0.000  0.000  0.500
Te  0.000  0.000  0.000
Te  0.500  0.500  0.500

SG: P4/mmm
Energy relative to the elements, uncorrected (eV/atom): -1.05

=====

(13)
A relaxed structure of Rb2BaRu. Source: Alexandria via LeMat-Bulk, functional GGA-PBEsol.

a b c (Å): 5.780 5.780 5.780
angles (deg): 60.00 60.00 60.00
Last column: magnetic moment on the atom in μB.
Element x y z (fractional)
Ru  0.000  0.000  0.000  0.92
Ba  0.500  0.500  0.500  -0.10
Rb  0.250  0.250  0.250  -0.02
Rb  0.750  0.750  0.750  -0.02

Energy of formation from the pure elements (eV per formula unit): 4.94
SG: Fm-3m

=====

(14)
A relaxed structure of MgAl2Cd. Source: Alexandria via LeMat-Bulk, functional GGA-PBEsol.

a b c (Å): 3.012 4.065 6.134
angles (deg): 90.00 90.00 90.00
Element x y z (fractional)
Mg  0.000  0.500  0.754
Al  0.500  0.000  0.016
Al  0.000  0.500  0.234
Cd  0.500  0.000  0.496

Energy of formation from the pure elements (eV per formula unit): 0.11
SG: Pmm2

=====

(15)
A relaxed structure of CsLiCaAg2. Source: Alexandria via LeMat-Bulk, functional GGA-PBEsol.

a b c (Å): 5.601 5.601 6.716
angles (deg): 90.00 90.00 90.00
Element x y z (fractional)
Cs  0.000  0.000  0.500
Ca  0.000  0.000  0.000
Ag  0.000  0.500  0.000
Ag  0.500  0.000  0.000
Li  0.500  0.500  0.500

Energy of formation from the pure elements (eV per formula unit): 3.36
SG: P4/mmm

=====

(16)
A relaxed structure of Li2IrW. Source: Alexandria via LeMat-Bulk, functional GGA-PBEsol.

a b c (Å): 3.567 3.567 5.202
angles (deg): 110.05 110.05 90.00
Element x y z (fractional)
Ir  0.000  0.000  0.000
Li  0.750  0.250  0.500
Li  0.250  0.750  0.500
W  0.500  0.500  0.000

Energy of formation from the pure elements (eV per formula unit): 1.00
SG: I4/mmm

=====

(17)
A relaxed structure of Ba2YI7. Source: Alexandria via LeMat-Bulk, functional GGA-PBEsol.

a b c (Å): 8.242 14.745 16.759
angles (deg): 90.00 90.00 90.00
Element x y z (fractional)
Ba  0.750  0.758  0.437
Ba  0.750  0.735  0.720
Ba  0.250  0.765  0.220
Ba  0.250  0.742  0.937
Ba  0.750  0.258  0.063
Ba  0.750  0.235  0.780
Ba  0.250  0.265  0.280
Ba  0.250  0.242  0.563
Y  0.750  0.064  0.306
Y  0.250  0.436  0.806
Y  0.750  0.564  0.194
Y  0.250  0.936  0.694
I  0.250  0.910  0.070
I  0.990  0.910  0.331
I  0.510  0.910  0.331
I  0.011  0.883  0.822
I  0.489  0.883  0.822
I  0.482  0.835  0.586
I  0.018  0.835  0.586
I  0.982  0.665  0.086
I  0.518  0.665  0.086
I  0.989  0.617  0.322
I  0.511  0.617  0.322
I  0.010  0.590  0.831
I  0.490  0.590  0.831
I  0.750  0.590  0.570
I  0.250  0.410  0.430
I  0.990  0.410  0.169
I  0.510  0.410  0.169
I  0.011  0.383  0.678
I  0.489  0.383  0.678
I  0.018  0.335  0.914
I  0.482  0.335  0.914
I  0.518  0.165  0.414
I  0.982  0.165  0.414
I  0.511  0.117  0.178
I  0.989  0.117  0.178
I  0.490  0.090  0.669
I  0.010  0.090  0.669
I  0.750  0.090  0.930

SG: Pnma
Energy relative to the elements, uncorrected (eV/atom): -1.53

=====

(18)
A relaxed structure of Tl5Sb. Source: Alexandria via LeMat-Bulk, functional GGA-PBEsol.

a b c (Å): 5.507 6.000 6.000
angles (deg): 120.00 90.00 90.00
Element x y z (fractional)
Sb  0.500  0.000  0.000
Tl  0.000  0.326  0.326
Tl  0.000  0.674  0.000
Tl  0.000  0.000  0.674
Tl  0.500  0.333  0.667
Tl  0.500  0.667  0.333

SG: P-62m
Energy above the most stable polymorph in this dataset (eV per atom): 0.024
Energy relative to the elements, uncorrected (eV/atom): 0.01

=====

(19)
A relaxed structure of In2GaCCl. Source: Alexandria via LeMat-Bulk, functional GGA-PBEsol.

a b c (Å): 4.348 4.348 7.054
angles (deg): 90.00 90.00 90.00
Element x y z (fractional)
C  0.000  0.000  0.000
Cl  0.000  0.000  0.500
Ga  0.500  0.500  0.500
In  0.000  0.500  0.000
In  0.500  0.000  0.000

SG: P4/mmm
Energy relative to the elements, uncorrected (eV/atom): 0.77

=====

(20)
A relaxed structure of Tl2RhCl. Source: Alexandria via LeMat-Bulk, functional GGA-PBEsol.

a b c (Å): 3.141 5.073 5.073
angles (deg): 90.01 89.78 89.78
Element x y z (fractional)
Tl  0.000  0.000  0.500
Tl  0.000  0.500  0.000
Rh  0.500  0.500  0.500
Cl  0.500  0.000  0.000

SG: C2/m
Energy relative to the elements, uncorrected (eV/atom): -0.08

=====

(21)
A relaxed structure of CaTe2OsI. Source: Alexandria via LeMat-Bulk, functional GGA-PBEsol.

a b c (Å): 5.625 5.723 5.723
angles (deg): 90.00 90.00 90.00
Last column: magnetic moment on the atom in μB.
Element x y z (fractional)
I  0.500  0.000  0.000  0.08
Ca  0.000  0.000  0.000  0.01
Te  0.000  0.000  0.500  0.02
Te  0.000  0.500  0.000  0.02
Os  0.500  0.500  0.500  3.43

SG: P4/mmm
Energy relative to the elements, uncorrected (eV/atom): 1.35

=====

(22)
A relaxed structure of Al2Ni21B6. Source: Alexandria via LeMat-Bulk, functional GGA-PBEsol.

a b c (Å): 7.306 7.306 7.306
angles (deg): 60.00 60.00 60.00
Element x y z (fractional)
Al  0.250  0.250  0.250
Al  0.750  0.750  0.750
Ni  0.852  0.383  0.383
Ni  0.148  0.617  0.617
Ni  0.383  0.852  0.383
Ni  0.383  0.383  0.852
Ni  0.617  0.148  0.617
Ni  0.617  0.617  0.148
Ni  0.383  0.383  0.383
Ni  0.617  0.617  0.617
Ni  0.662  0.000  0.000
Ni  0.338  0.000  0.000
Ni  0.000  0.662  0.338
Ni  0.000  0.338  0.662
Ni  0.662  0.000  0.338
Ni  0.000  0.338  0.000
Ni  0.338  0.000  0.662
Ni  0.000  0.662  0.000
Ni  0.662  0.338  0.000
Ni  0.338  0.662  0.000
Ni  0.000  0.000  0.338
Ni  0.000  0.000  0.662
Ni  0.000  0.000  0.000
B  0.727  0.273  0.273
B  0.273  0.727  0.727
B  0.727  0.273  0.727
B  0.273  0.727  0.273
B  0.727  0.727  0.273
B  0.273  0.273  0.727

Energy of formation from the pure elements (eV per formula unit): -11.37
SG: Fm-3m

=====

(23)
A relaxed structure of AlHgPb2. Source: Alexandria via LeMat-Bulk, functional GGA-PBEsol.

a b c (Å): 4.521 4.720 4.720
angles (deg): 90.00 90.00 90.00
Element x y z (fractional)
Pb  0.000  0.000  0.500
Pb  0.000  0.500  0.000
Hg  0.500  0.000  0.000
Al  0.500  0.500  0.500

Energy of formation from the pure elements (eV per formula unit): 0.62
SG: P4/mmm
Energy above the most stable polymorph in this dataset (eV per atom): 0.066

=====

no.,density (kg/m3),raw total energy (eV/atom)
1,5653,-4.150
2,6643,-1.024
3,4080,-8.370
4,18794,-7.972
5,15652,-6.921
6,12225,-3.983
7,3506,-4.811
8,4638,-7.645
9,3829,-4.814
10,7415,-5.116
11,4492,-3.352
12,4847,-3.782
13,4978,-2.357
14,4216,-2.747
15,3118,-1.660
16,11185,-6.642
17,4083,-3.881
18,11060,-2.938
19,4319,-3.423
20,11241,-3.931
21,5519,-3.282
22,8139,-6.585
23,10585,-3.010